Computed, not measured: a geometry-optimized DyMg9Pt2 structure at the PBE-GGA level of DFT.

The space group is I4_1/amd (No. 141, origin choice 2) and the conventional cell measures 11.621, 11.621 and 7.481 Å, with angles of 90.00, 90.00 and 90.00 degrees. Symmetry generates all atoms from Dy at (0.000, 0.250, 0.375), Mg at (0.000, 0.250, 0.875), Mg at (0.122, 0.054, 0.687) and Pt at (0.000, 0.000, 0.000).

Its formation energy is -408 kJ/mol of formula units.